No. 1
A plane-wave DFT calculation with GGA-PBEsol was carried out for a relaxed RbF crystal.

Unit cell a=3.9551 b=3.9551 c=3.9551 alpha=60.00 beta=60.00 gamma=60.00
With the nearest neighbours (Å) after each atom.
Sites, in units of the cell vectors:
F 0.5000 0.5000 0.5000  6 Rb 2.80
Rb 0.0000 0.0000 0.0000  6 F 2.80

density of states at the Fermi level: 0.000 states/eV per atom
size of the total moment: 0.064 μB/f.u.
formation energy (no corrections): -2674 meV/atom
DFT total energy: -4.15 eV per atom
density: 3965 kg/m3

=====

No. 2
A plane-wave DFT calculation with GGA-PBEsol was carried out for a relaxed RbF crystal.

Unit cell a=3.3541 b=3.3541 c=3.3541 alpha=90.00 beta=90.00 gamma=90.00
With the nearest neighbours (Å) after each atom.
Sites, in units of the cell vectors:
Rb 0.0000 0.0000 0.0000  8 F 2.90
F 0.5000 0.5000 0.5000  8 Rb 2.90

density of states at the Fermi level: 0.000 states/eV per atom
size of the total moment: 0.059 μB/f.u.
formation energy (no corrections): -2598 meV/atom
DFT total energy: -4.07 eV per atom
density: 4597 kg/m3

=====

No. 3
A plane-wave DFT calculation with GGA-PBEsol was carried out for a relaxed RbRh3F crystal.

Unit cell a=4.4731 b=4.4731 c=4.4731 alpha=90.00 beta=90.00 gamma=90.00
With the nearest neighbours (Å) after each atom.
Sites, in units of the cell vectors:
Rh 0.0000 0.5000 0.0000  2 F 2.24
Rh 0.5000 0.0000 0.0000  2 F 2.24
Rh 0.0000 0.0000 0.5000  2 F 2.24
Rb 0.5000 0.5000 0.5000  12 Rh 3.16
F 0.0000 0.0000 0.0000  6 Rh 2.24

density of states at the Fermi level: 1.921 states/eV per atom
size of the total moment: 4.064 μB/f.u.
formation energy (no corrections): 1086 meV/atom
DFT total energy: -4.39 eV per atom
density: 7666 kg/m3

=====

No. 4
A plane-wave DFT calculation with GGA-PBEsol was carried out for a relaxed Rb3RhF6 crystal.

Unit cell a=6.4167 b=6.4167 c=6.4167 alpha=60.00 beta=60.00 gamma=60.00
With the nearest neighbours (Å) after each atom.
Sites, in units of the cell vectors:
Rb 0.5000 0.5000 0.5000  6 F 2.56
F 0.2175 0.2175 0.7825  1 Rh 1.97
Rb 0.2500 0.2500 0.2500  12 F 3.22
F 0.7825 0.2175 0.7825  1 Rh 1.97
Rh 0.0000 0.0000 0.0000  6 F 1.97
F 0.2175 0.7825 0.2175  1 Rh 1.97
F 0.7825 0.7825 0.2175  1 Rh 1.97
F 0.2175 0.7825 0.7825  1 Rh 1.97
Rb 0.7500 0.7500 0.7500  12 F 3.22
F 0.7825 0.2175 0.2175  1 Rh 1.97

density of states at the Fermi level: 0.000 states/eV per atom
size of the total moment: 0.186 μB/f.u.
formation energy (no corrections): -2345 meV/atom
DFT total energy: -4.62 eV per atom
density: 4207 kg/m3

=====

No. 5
A plane-wave DFT calculation with GGA-PBEsol was carried out for a relaxed Rb2TlRhF6 crystal.

Unit cell a=6.3853 b=6.3853 c=6.3853 alpha=60.00 beta=60.00 gamma=60.00
With the nearest neighbours (Å) after each atom.
Sites, in units of the cell vectors:
F 0.2195 0.2195 0.7805  1 Rh 1.98
Tl 0.5000 0.5000 0.5000  6 F 2.53
F 0.7805 0.2195 0.2195  1 Rh 1.98
Rb 0.2500 0.2500 0.2500  12 F 3.20
F 0.7805 0.7805 0.2195  1 Rh 1.98
Rb 0.7500 0.7500 0.7500  12 F 3.20
F 0.2195 0.7805 0.2195  1 Rh 1.98
Rh 0.0000 0.0000 0.0000  6 F 1.98
F 0.2195 0.7805 0.7805  1 Rh 1.98
F 0.7805 0.2195 0.7805  1 Rh 1.98

density of states at the Fermi level: 0.000 states/eV per atom
size of the total moment: 0.190 μB/f.u.
formation energy (no corrections): -2134 meV/atom
DFT total energy: -4.57 eV per atom
density: 5342 kg/m3

=====

No. 6
A plane-wave DFT calculation with GGA-PBEsol was carried out for a relaxed RbRuF6 crystal.

Unit cell a=5.1106 b=5.1106 c=5.1106 alpha=97.71 beta=97.71 gamma=97.71
With the nearest neighbours (Å) after each atom.
Sites, in units of the cell vectors:
F 0.0812 0.7409 0.7409  1 Ru 1.87
F 0.9188 0.2591 0.2591  1 Ru 1.87
F 0.7409 0.7409 0.0812  1 Ru 1.87
Rb 0.5000 0.5000 0.5000  12 F 2.94-3.08
F 0.2591 0.9188 0.2591  1 Ru 1.87
Ru 0.0000 0.0000 0.0000  6 F 1.87
F 0.7409 0.0812 0.7409  1 Ru 1.87
F 0.2591 0.2591 0.9188  1 Ru 1.87

size of the total moment: 3.000 μB/f.u.
formation energy (no corrections): -2150 meV/atom
DFT total energy: -5.00 eV per atom
density: 3854 kg/m3

=====

No. 7
A plane-wave DFT calculation with GGA-PBEsol was carried out for a relaxed Rb3RuF6 crystal.

Unit cell a=6.8762 b=6.8812 c=6.8806 alpha=103.26 beta=103.52 gamma=103.26
With the nearest neighbours (Å) after each atom.
Sites, in units of the cell vectors:
F 0.9410 0.2134 0.2132  1 Ru 2.01
F 0.0590 0.7866 0.7868  1 Ru 2.01
F 0.7867 0.7864 0.0589  1 Ru 2.01
Rb 0.5000 0.0000 0.0000  6 F 2.73-2.90
F 0.2143 0.9419 0.2144  1 Ru 2.01
F 0.2133 0.2136 0.9411  1 Ru 2.01
Ru 0.0000 0.0000 0.0000  6 F 2.01
Rb 0.0000 0.5000 0.0000  6 F 2.73-2.91
F 0.7857 0.0581 0.7856  1 Ru 2.01
Rb 0.0000 0.0000 0.5000  6 F 2.73-2.90

density of states at the Fermi level: 1.002 states/eV per atom
size of the total moment: 1.002 μB/f.u.
formation energy (no corrections): -2292 meV/atom
DFT total energy: -4.77 eV per atom
density: 2663 kg/m3

=====

No. 8
A plane-wave DFT calculation with GGA-PBEsol was carried out for a relaxed Rb3RuF6 crystal.

Unit cell a=6.4475 b=6.4475 c=6.4475 alpha=60.00 beta=60.00 gamma=60.00
With the nearest neighbours (Å) after each atom.
Sites, in units of the cell vectors:
F 0.7818 0.7818 0.2182  1 Ru 1.99
F 0.2182 0.7818 0.7818  1 Ru 1.99
Ru 0.0000 0.0000 0.0000  6 F 1.99
Rb 0.7500 0.7500 0.7500  12 F 3.24
Rb 0.2500 0.2500 0.2500  12 F 3.24
F 0.7818 0.2182 0.2182  1 Ru 1.99
Rb 0.5000 0.5000 0.5000  6 F 2.57
F 0.2182 0.7818 0.2182  1 Ru 1.99
F 0.2182 0.2182 0.7818  1 Ru 1.99
F 0.7818 0.2182 0.7818  1 Ru 1.99

density of states at the Fermi level: 1.125 states/eV per atom
size of the total moment: 1.000 μB/f.u.
formation energy (no corrections): -2321 meV/atom
DFT total energy: -4.80 eV per atom
density: 4131 kg/m3

=====

- Which value of density does entry 4 give?
  4207 kg/m3